# 1
# ZnGeAs2

Crystalline ZnGeAs2 at its relaxed geometry (PBE, OQMD via LeMat-Bulk).

Results
polymorph energy (0 for the lowest one)	0.505	eV per atom
energy	-0.127	Ha/atom

a = 6.689 Å, b = 6.689 Å, c = 6.689 Å
α = 90.00°, β = 90.00°, γ = 90.00°
Element x y z (fractional)
Zn (0.000, 0.000, 0.000)
Zn (0.000, 0.500, 0.500)
Zn (0.500, 0.000, 0.500)
Zn (0.500, 0.500, 0.000)
Ge (0.250, 0.250, 0.750)
Ge (0.250, 0.750, 0.250)
Ge (0.750, 0.250, 0.250)
Ge (0.750, 0.750, 0.750)
As (0.000, 0.000, 0.500)
As (0.000, 0.500, 0.000)
As (0.250, 0.250, 0.250)
As (0.250, 0.750, 0.750)
As (0.500, 0.000, 0.000)
As (0.500, 0.500, 0.500)
As (0.750, 0.250, 0.750)
As (0.750, 0.750, 0.250)

# 2
# ZnGe2As

Crystalline ZnGe2As at its relaxed geometry (PBE, OQMD via LeMat-Bulk).

Results
energy	-0.128	Ha/atom

a = 6.674 Å, b = 6.674 Å, c = 6.674 Å
α = 90.00°, β = 90.00°, γ = 90.00°
Element x y z (fractional)
Zn (0.000, 0.000, 0.000)
Zn (0.000, 0.500, 0.500)
Zn (0.500, 0.000, 0.500)
Zn (0.500, 0.500, 0.000)
Ge (0.000, 0.000, 0.500)
Ge (0.000, 0.500, 0.000)
Ge (0.250, 0.250, 0.250)
Ge (0.250, 0.750, 0.750)
Ge (0.500, 0.000, 0.000)
Ge (0.500, 0.500, 0.500)
Ge (0.750, 0.250, 0.750)
Ge (0.750, 0.750, 0.250)
As (0.250, 0.250, 0.750)
As (0.250, 0.750, 0.250)
As (0.750, 0.250, 0.250)
As (0.750, 0.750, 0.750)

# 3
# ZrGeAs

Crystalline ZrGeAs at its relaxed geometry (PBE, OQMD via LeMat-Bulk).

Results
energy	-0.221	Ha/atom

a = 6.432 Å, b = 6.432 Å, c = 6.432 Å
α = 90.00°, β = 90.00°, γ = 90.00°
Element x y z (fractional)
Zr (0.000, 0.000, 0.000)
Zr (0.000, 0.500, 0.500)
Zr (0.500, 0.000, 0.500)
Zr (0.500, 0.500, 0.000)
Ge (0.000, 0.000, 0.500)
Ge (0.000, 0.500, 0.000)
Ge (0.500, 0.000, 0.000)
Ge (0.500, 0.500, 0.500)
As (0.250, 0.250, 0.750)
As (0.250, 0.750, 0.250)
As (0.750, 0.250, 0.250)
As (0.750, 0.750, 0.750)

# 4
# Zr6GeAs2

Crystalline Zr6GeAs2 at its relaxed geometry (PBE, OQMD via LeMat-Bulk).

Results
energy	-0.298	Ha/atom

a = 7.359 Å, b = 7.359 Å, c = 3.880 Å
α = 90.00°, β = 90.00°, γ = 120.00°
Element x y z (fractional)
Zr (0.000, 0.255, 0.000)
Zr (0.000, 0.592, 0.500)
Zr (0.255, 0.000, 0.000)
Zr (0.408, 0.408, 0.500)
Zr (0.592, 0.000, 0.500)
Zr (0.745, 0.745, 0.000)
Ge (0.000, 0.000, 0.500)
As (0.333, 0.667, 0.000)
As (0.667, 0.333, 0.000)

# 5
# ZrGeAs2

Crystalline ZrGeAs2 at its relaxed geometry (PBE, OQMD via LeMat-Bulk).

Results
energy	-0.204	Ha/atom

a = 6.815 Å, b = 6.815 Å, c = 6.815 Å
α = 90.00°, β = 90.00°, γ = 90.00°
Element x y z (fractional)
Zr (0.000, 0.000, 0.000)
Zr (0.000, 0.500, 0.500)
Zr (0.500, 0.000, 0.500)
Zr (0.500, 0.500, 0.000)
Ge (0.250, 0.250, 0.750)
Ge (0.250, 0.750, 0.250)
Ge (0.750, 0.250, 0.250)
Ge (0.750, 0.750, 0.750)
As (0.000, 0.000, 0.500)
As (0.000, 0.500, 0.000)
As (0.250, 0.250, 0.250)
As (0.250, 0.750, 0.750)
As (0.500, 0.000, 0.000)
As (0.500, 0.500, 0.500)
As (0.750, 0.250, 0.750)
As (0.750, 0.750, 0.250)

# 6
# ZrGeAs

Crystalline ZrGeAs at its relaxed geometry (PBE, OQMD via LeMat-Bulk).

Results
energy	-0.221	Ha/atom

a = 6.509 Å, b = 6.509 Å, c = 6.509 Å
α = 90.00°, β = 90.00°, γ = 90.00°
Element x y z (fractional)
Zr (0.000, 0.000, 0.000)
Zr (0.000, 0.500, 0.500)
Zr (0.500, 0.000, 0.500)
Zr (0.500, 0.500, 0.000)
Ge (0.250, 0.250, 0.250)
Ge (0.250, 0.750, 0.750)
Ge (0.750, 0.250, 0.750)
Ge (0.750, 0.750, 0.250)
As (0.250, 0.250, 0.750)
As (0.250, 0.750, 0.250)
As (0.750, 0.250, 0.250)
As (0.750, 0.750, 0.750)

# 7
# Zr3GeAs

Crystalline Zr3GeAs at its relaxed geometry (PBE, OQMD via LeMat-Bulk).

Results
energy	-0.285	Ha/atom

a = 6.239 Å, b = 6.239 Å, c = 9.487 Å
α = 90.00°, β = 90.00°, γ = 144.86°
Element x y z (fractional)
Zr (0.078, 0.922, 0.750)
Zr (0.351, 0.649, 0.564)
Zr (0.351, 0.649, 0.936)
Zr (0.649, 0.351, 0.064)
Zr (0.649, 0.351, 0.436)
Zr (0.922, 0.078, 0.250)
Ge (0.256, 0.744, 0.250)
Ge (0.744, 0.256, 0.750)
As (0.000, 0.000, 0.000)
As (0.000, 0.000, 0.500)

# 8
# HfAsH

Crystalline HfAsH at its relaxed geometry (PBE, OQMD via LeMat-Bulk).

Results
energy	-0.252	Ha/atom

a = 3.599 Å, b = 3.599 Å, c = 3.612 Å
α = 90.00°, β = 90.00°, γ = 120.00°
Element x y z (fractional)
Hf (0.000, 0.000, 0.000)
As (0.667, 0.333, 0.500)
H (0.333, 0.667, 0.000)

# 9
# Hg3As2H2O8

Crystalline Hg3As2H2O8 at its relaxed geometry (PBE, OQMD via LeMat-Bulk).

Results
energy	-0.170	Ha/atom

a = 7.627 Å, b = 7.627 Å, c = 9.535 Å
α = 119.93°, β = 119.93°, γ = 64.22°
Element x y z (fractional)
Hg (0.080, 0.780, 0.083)
Hg (0.220, 0.920, 0.417)
Hg (0.244, 0.756, 0.750)
Hg (0.756, 0.244, 0.250)
Hg (0.780, 0.080, 0.583)
Hg (0.920, 0.220, 0.917)
As (0.226, 0.379, 0.366)
As (0.379, 0.226, 0.866)
As (0.621, 0.774, 0.134)
As (0.774, 0.621, 0.634)
H (0.315, 0.390, 0.166)
H (0.390, 0.315, 0.666)
H (0.610, 0.685, 0.334)
H (0.685, 0.610, 0.834)
O (0.034, 0.263, 0.190)
O (0.105, 0.627, 0.476)
O (0.228, 0.378, 0.990)
O (0.263, 0.034, 0.690)
O (0.373, 0.895, 0.024)
O (0.378, 0.228, 0.490)
O (0.384, 0.409, 0.299)
O (0.409, 0.384, 0.799)
O (0.591, 0.616, 0.201)
O (0.616, 0.591, 0.701)
O (0.622, 0.772, 0.510)
O (0.627, 0.105, 0.976)
O (0.737, 0.966, 0.310)
O (0.772, 0.622, 0.010)
O (0.895, 0.373, 0.524)
O (0.966, 0.737, 0.810)

# 10
# ZnHgAsHO5

Crystalline ZnHgAsHO5 at its relaxed geometry (PBE, OQMD via LeMat-Bulk).

Results
energy	-0.179	Ha/atom

a = 7.633 Å, b = 6.241 Å, c = 8.743 Å
α = 90.00°, β = 90.00°, γ = 90.00°
Element x y z (fractional)
Zn (0.000, 0.000, 0.000)
Zn (0.000, 0.500, 0.000)
Zn (0.500, 0.000, 0.500)
Zn (0.500, 0.500, 0.500)
Hg (0.113, 0.250, 0.329)
Hg (0.387, 0.750, 0.829)
Hg (0.613, 0.250, 0.171)
Hg (0.887, 0.750, 0.671)
As (0.142, 0.250, 0.683)
As (0.358, 0.750, 0.183)
As (0.642, 0.250, 0.817)
As (0.858, 0.750, 0.317)
H (0.235, 0.750, 0.544)
H (0.265, 0.250, 0.044)
H (0.735, 0.750, 0.956)
H (0.765, 0.250, 0.456)
O (0.024, 0.750, 0.454)
O (0.132, 0.018, 0.789)
O (0.132, 0.482, 0.789)
O (0.143, 0.250, 0.082)
O (0.169, 0.750, 0.074)
O (0.331, 0.250, 0.574)
O (0.357, 0.750, 0.582)
O (0.368, 0.518, 0.289)
O (0.368, 0.982, 0.289)
O (0.476, 0.250, 0.954)
O (0.524, 0.750, 0.046)
O (0.632, 0.018, 0.711)
O (0.632, 0.482, 0.711)
O (0.643, 0.250, 0.418)
O (0.669, 0.750, 0.426)
O (0.831, 0.250, 0.926)
O (0.857, 0.750, 0.918)
O (0.868, 0.518, 0.211)
O (0.868, 0.982, 0.211)
O (0.976, 0.250, 0.546)

# 11
# AsH6IrPb

Crystalline AsH6IrPb at its relaxed geometry (PBE, OQMD via LeMat-Bulk).

Results
energy	-0.113	Ha/atom

a = 4.824 Å, b = 4.824 Å, c = 4.824 Å
α = 60.00°, β = 60.00°, γ = 60.00°
Element x y z (fractional)
As (0.000, 0.000, 0.000)
H (0.611, 0.611, 0.889)
H (0.611, 0.889, 0.611)
H (0.611, 0.889, 0.889)
H (0.889, 0.611, 0.611)
H (0.889, 0.611, 0.889)
H (0.889, 0.889, 0.611)
Ir (0.500, 0.500, 0.500)
Pb (0.250, 0.250, 0.250)

# 12
# Na3Zn4As3H12O19

Crystalline Na3Zn4As3H12O19 at its relaxed geometry (PBE, OQMD via LeMat-Bulk).

Results
energy	-0.189	Ha/atom

a = 10.651 Å, b = 10.651 Å, c = 10.651 Å
α = 60.85°, β = 60.85°, γ = 60.85°
Element x y z (fractional)
Na (0.058, 0.770, 0.672)
Na (0.172, 0.270, 0.558)
Na (0.270, 0.558, 0.172)
Na (0.558, 0.172, 0.270)
Na (0.672, 0.058, 0.770)
Na (0.770, 0.672, 0.058)
Zn (0.215, 0.924, 0.233)
Zn (0.221, 0.221, 0.221)
Zn (0.233, 0.215, 0.924)
Zn (0.424, 0.715, 0.733)
Zn (0.715, 0.733, 0.424)
Zn (0.721, 0.721, 0.721)
Zn (0.733, 0.424, 0.715)
Zn (0.924, 0.233, 0.215)
As (0.380, 0.920, 0.417)
As (0.417, 0.380, 0.920)
As (0.420, 0.880, 0.917)
As (0.880, 0.917, 0.420)
As (0.917, 0.420, 0.880)
As (0.920, 0.417, 0.380)
H (0.037, 0.717, 0.983)
H (0.055, 0.123, 0.830)
H (0.071, 0.597, 0.440)
H (0.097, 0.571, 0.940)
H (0.123, 0.830, 0.055)
H (0.193, 0.990, 0.776)
H (0.217, 0.537, 0.483)
H (0.276, 0.490, 0.693)
H (0.330, 0.623, 0.555)
H (0.440, 0.071, 0.597)
H (0.483, 0.217, 0.537)
H (0.490, 0.693, 0.276)
H (0.537, 0.483, 0.217)
H (0.555, 0.330, 0.623)
H (0.571, 0.940, 0.097)
H (0.597, 0.440, 0.071)
H (0.623, 0.555, 0.330)
H (0.693, 0.276, 0.490)
H (0.717, 0.983, 0.037)
H (0.776, 0.193, 0.990)
H (0.830, 0.055, 0.123)
H (0.940, 0.097, 0.571)
H (0.983, 0.037, 0.717)
H (0.990, 0.776, 0.193)
O (0.023, 0.674, 0.927)
O (0.054, 0.880, 0.424)
O (0.056, 0.772, 0.089)
O (0.084, 0.278, 0.830)
O (0.089, 0.056, 0.772)
O (0.093, 0.423, 0.246)
O (0.146, 0.146, 0.146)
O (0.174, 0.523, 0.427)
O (0.246, 0.093, 0.423)
O (0.270, 0.399, 0.876)
O (0.272, 0.556, 0.589)
O (0.278, 0.830, 0.084)
O (0.330, 0.778, 0.584)
O (0.376, 0.899, 0.770)
O (0.380, 0.554, 0.924)
O (0.399, 0.876, 0.270)
O (0.423, 0.246, 0.093)
O (0.424, 0.054, 0.880)
O (0.427, 0.174, 0.523)
O (0.523, 0.427, 0.174)
O (0.554, 0.924, 0.380)
O (0.556, 0.589, 0.272)
O (0.584, 0.330, 0.778)
O (0.589, 0.272, 0.556)
O (0.593, 0.746, 0.923)
O (0.646, 0.646, 0.646)
O (0.674, 0.927, 0.023)
O (0.746, 0.923, 0.593)
O (0.770, 0.376, 0.899)
O (0.772, 0.089, 0.056)
O (0.778, 0.584, 0.330)
O (0.830, 0.084, 0.278)
O (0.876, 0.270, 0.399)
O (0.880, 0.424, 0.054)
O (0.899, 0.770, 0.376)
O (0.923, 0.593, 0.746)
O (0.924, 0.380, 0.554)
O (0.927, 0.023, 0.674)